Entry 1:
DFT (GGA-PBEsol) results for crystalline ZnFePb2 at its relaxed geometry.

Structure (CIF):
```
data_ZnFePb2
_chemical_formula_sum 'Zn1 Fe1 Pb2'
_cell_length_a 3.5526
_cell_length_b 3.5526
_cell_length_c 6.4485
_cell_angle_alpha 90.00
_cell_angle_beta 90.00
_cell_angle_gamma 90.00
_symmetry_space_group_name_H-M 'P 1'
_symmetry_Int_Tables_number 1
loop_
_symmetry_equiv_pos_as_xyz
'x,y,z'
loop_
_atom_site_label
_atom_site_fract_x
_atom_site_fract_y
_atom_site_fract_z
_atom_site_occupancy
Fe1 0.5000 0.5000 0.5000 1
Pb1 0.0000 0.0000 0.7387 1
Pb2 0.0000 0.0000 0.2613 1
Zn1 0.5000 0.5000 0.0000 1
```

* calculated total energy: -4.155 eV/atom
* formation energy from the elements: 480 meV/atom

Entry 2:
DFT (GGA-PBEsol) results for crystalline ZnFePb2 at its relaxed geometry.

Structure (CIF):
```
data_ZnFePb2
_chemical_formula_sum 'Zn1 Fe1 Pb2'
_cell_length_a 3.1844
_cell_length_b 3.1844
_cell_length_c 8.3962
_cell_angle_alpha 90.00
_cell_angle_beta 90.00
_cell_angle_gamma 98.95
_symmetry_space_group_name_H-M 'P 1'
_symmetry_Int_Tables_number 1
loop_
_symmetry_equiv_pos_as_xyz
'x,y,z'
loop_
_atom_site_label
_atom_site_fract_x
_atom_site_fract_y
_atom_site_fract_z
_atom_site_occupancy
Fe1 0.5000 0.5000 0.0000 1
Pb1 0.0000 0.0000 0.2254 1
Pb2 0.0000 0.0000 0.7746 1
Zn1 0.5000 0.5000 0.5000 1
```

* calculated total energy: -4.143 eV/atom
* formation energy from the elements: 493 meV/atom